! NiSn | the Alexandria database | PBE-GGA | optimized geometry; values from VASP
&SYSTEM
  ibrav = 0, nat = 12, ntyp = 2
/
ATOMIC_SPECIES
Sn 118.71 Sn.upf
Ni 58.69 Ni.upf
ATOMIC_POSITIONS angstrom
Sn -1.512 3.305 5.208
Sn -3.132 5.467 -0.804
Sn -2.774 -0.043 2.796
Sn -6.117 0.152 1.702
Sn -3.273 1.952 -0.997
Sn -0.410 3.445 1.865
Ni -4.874 3.806 -1.447
Ni -4.996 -0.015 3.921
Ni -3.894 0.124 0.578
Ni -1.531 3.612 -0.353
Ni -1.031 1.618 3.440
Ni -0.890 5.132 3.633
CELL_PARAMETERS angstrom
-6.686 0.389 -2.188
-2.204 -0.280 6.686
0.282 7.030 0.387
! Density   5.053 Mg/m³
! VASP energy   -4.45 eV/atom
! Magnetization   0.0 μB per formula unit
! Space group   Pm-3n, No. 223

---

! AgPd | the Alexandria database | PBE-GGA | optimized geometry; values from VASP
&SYSTEM
  ibrav = 0, nat = 8, ntyp = 2
/
ATOMIC_SPECIES
Ag 107.87 Ag.upf
Pd 106.42 Pd.upf
ATOMIC_POSITIONS angstrom
Ag 0.987 0.987 0.000
Ag 3.633 1.658 2.705
Ag 4.304 4.304 0.000
Ag 1.658 3.633 2.705
Pd 0.973 0.973 2.705
Pd 3.618 1.672 0.000
Pd 4.318 4.318 2.705
Pd 1.672 3.618 0.000
CELL_PARAMETERS angstrom
5.291 0.000 0.000
0.000 5.291 0.000
0.000 0.000 5.411
! Density   9.397 Mg/m³
! VASP energy   -3.65 eV/atom
! Magnetization   0.0 μB per formula unit
! Space group   P4_2/mnm, No. 136

---

! UPbAu | the Alexandria database | PBE-GGA | optimized geometry; values from VASP
&SYSTEM
  ibrav = 0, nat = 3, ntyp = 3
/
ATOMIC_SPECIES
Pb 207.20 Pb.upf
U 238.03 U.upf
Au 196.97 Au.upf
ATOMIC_POSITIONS angstrom
Pb 1.910 -1.977 1.917
U -1.322 -2.562 1.242
Au 1.299 -2.989 -0.799
CELL_PARAMETERS angstrom
-1.323 -2.564 1.243
1.355 -2.707 -4.142
3.178 0.307 4.016
! Density   14.894 Mg/m³
! VASP energy   -6.02 eV/atom
! Magnetization   3.3 μB per formula unit
! Space group   P3m1, No. 156

---

! TmZr2Sc2 | the Alexandria database | PBE-GGA | optimized geometry; values from VASP
&SYSTEM
  ibrav = 0, nat = 20, ntyp = 3
/
ATOMIC_SPECIES
Zr 91.22 Zr.upf
Sc 44.96 Sc.upf
Tm 168.93 Tm.upf
ATOMIC_POSITIONS angstrom
Zr 3.835 5.727 2.271
Zr 3.835 2.474 5.112
Zr 3.835 5.679 11.049
Zr 1.278 4.079 3.667
Zr 1.278 0.826 3.716
Zr 3.835 2.427 11.099
Zr 1.278 0.779 12.495
Zr 1.278 4.031 9.653
Sc 1.278 5.742 0.676
Sc 3.835 5.693 5.035
Sc 3.835 4.016 8.059
Sc 1.278 4.065 12.417
Sc 1.278 0.812 9.730
Sc 1.278 2.489 6.706
Sc 3.835 2.440 2.348
Sc 3.835 0.763 14.089
Tm 1.278 5.642 6.779
Tm 3.835 4.116 14.162
Tm 1.278 2.389 0.603
Tm 3.835 0.864 7.986
CELL_PARAMETERS angstrom
5.113 0.000 0.000
0.000 6.506 0.000
0.000 0.000 14.765
! Density   5.968 Mg/m³
! VASP energy   -6.80 eV/atom
! Magnetization   0.0 μB per formula unit
! Space group   Pnma, No. 62
! ΔE to the lowest computed polymorph   0.0 meV per atom

---

! BaCdCoGe2 | the Alexandria database | PBE-GGA | optimized geometry; values from VASP
&SYSTEM
  ibrav = 0, nat = 5, ntyp = 4
/
ATOMIC_SPECIES
Co 58.93 Co.upf
Ge 72.64 Ge.upf
Cd 112.41 Cd.upf
Ba 137.33 Ba.upf
ATOMIC_POSITIONS angstrom
Co 0.000 0.000 0.000
Ge -1.188 -1.661 1.200
Ge -1.137 -0.619 -1.983
Cd 1.828 -1.684 -0.522
Ba -0.498 -3.964 -1.306
CELL_PARAMETERS angstrom
-2.376 -3.322 2.399
-2.274 -1.238 -3.967
3.655 -3.369 -1.045
! Density   6.613 Mg/m³
! VASP energy   -4.00 eV/atom
! Magnetization   0.7 μB per formula unit
! Space group   P4/mmm, No. 123

---

! LiNdTl2O4 | the Alexandria database | PBE-GGA | optimized geometry; values from VASP
&SYSTEM
  ibrav = 0, nat = 16, ntyp = 4
/
ATOMIC_SPECIES
Nd 144.24 Nd.upf
Li 6.94 Li.upf
O 16.00 O.upf
Tl 204.38 Tl.upf
ATOMIC_POSITIONS angstrom
Nd 3.117 7.882 2.666
Nd 4.654 0.704 3.953
Li 2.913 1.905 1.537
Li 4.858 6.681 5.082
O 4.630 2.498 2.350
O 3.988 0.238 1.689
O 0.000 0.000 0.000
O 1.098 2.075 2.723
O 3.141 6.089 4.270
O 1.551 5.458 1.596
O 3.783 8.349 4.930
O 6.673 6.512 3.896
Tl 2.165 4.170 3.531
Tl 6.890 8.935 4.409
Tl 5.606 4.417 3.089
Tl 0.881 -0.348 2.210
CELL_PARAMETERS angstrom
-1.311 -0.556 3.175
5.980 -1.773 0.253
3.102 10.916 3.191
! Density   8.425 Mg/m³
! VASP energy   -5.44 eV/atom
! Magnetization   0.0 μB per formula unit
! Space group   Cmcm, No. 63

---

no.,density of states at the Fermi level (states/eV/cell)
1,9.7
2,5.0
3,5.2
4,30.0
5,3.9
6,3.1